# 1
Compound: K2TlHg
Source: OQMD via LeMat-Bulk
Functional: PBE-GGA
Structure: optimized geometry

- Energy: -20.99 eV for the cell shown
- Volume: 569.4 Å³/cell

```
data_K2TlHg
_chemical_formula_sum 'K8 Tl4 Hg4'
_symmetry_space_group_name_H-M 'F -4 3 m'
_symmetry_Int_Tables_number 216
_symmetry_space_group_name_Hall 'F -4 2 3'
_cell_length_a 8.289
_cell_length_b 8.289
_cell_length_c 8.289
_cell_angle_alpha 90.00
_cell_angle_beta 90.00
_cell_angle_gamma 90.00
loop_
_atom_site_label
_atom_site_type_symbol
_atom_site_fract_x
_atom_site_fract_y
_atom_site_fract_z
K1 K 0.000 0.000 0.000
K2 K 0.250 0.250 0.250
Tl1 Tl 0.250 0.250 0.750
Hg1 Hg 0.000 0.000 0.500
```

=====

# 2
Compound: LuCuW
Source: OQMD via LeMat-Bulk
Functional: PBE-GGA
Structure: optimized geometry

- Energy: -66.14 eV for the cell shown
- Volume: 263.7 Å³/cell
- ΔH_f (0 K): 1.5552 eV per atom
- Energy above the most stable polymorph in this dataset: 0.2750 eV/atom

```
data_LuCuW
_chemical_formula_sum 'Lu4 Cu4 W4'
_symmetry_space_group_name_H-M 'F -4 3 m'
_symmetry_Int_Tables_number 216
_symmetry_space_group_name_Hall 'F -4 2 3'
_cell_length_a 6.413
_cell_length_b 6.413
_cell_length_c 6.413
_cell_angle_alpha 90.00
_cell_angle_beta 90.00
_cell_angle_gamma 90.00
loop_
_atom_site_label
_atom_site_type_symbol
_atom_site_fract_x
_atom_site_fract_y
_atom_site_fract_z
Lu1 Lu 0.000 0.000 0.000
Cu1 Cu 0.250 0.250 0.750
W1 W 0.250 0.250 0.250
```

=====

# 3
Compound: Au2SeO
Source: OQMD via LeMat-Bulk
Functional: PBE-GGA
Structure: optimized geometry

- Energy: -27.44 eV for the cell shown
- Volume: 157.7 Å³/cell
- Energy above the most stable polymorph in this dataset: 0.3441 eV/atom

```
data_Au2SeO
_chemical_formula_sum 'Au4 Se2 O2'
_symmetry_space_group_name_H-M 'P 4/n m m'
_symmetry_Int_Tables_number 129
_cell_length_a 4.342
_cell_length_b 4.342
_cell_length_c 8.362
_cell_angle_alpha 90.00
_cell_angle_beta 90.00
_cell_angle_gamma 90.00
loop_
_symmetry_equiv_pos_as_xyz
'x,y,z'
'-x,-y,-z'
'-y+1/2,x,z'
'y+1/2,-x,-z'
'-x+1/2,-y+1/2,z'
'x+1/2,y+1/2,-z'
'y,-x+1/2,z'
'-y,x+1/2,-z'
'x+1/2,-y,-z'
'-x+1/2,y,z'
'-y,-x,-z'
'y,x,z'
'-x,y+1/2,-z'
'x,-y+1/2,z'
'y+1/2,x+1/2,-z'
'-y+1/2,-x+1/2,z'
loop_
_atom_site_label
_atom_site_type_symbol
_atom_site_fract_x
_atom_site_fract_y
_atom_site_fract_z
Au1 Au 0.250 0.250 0.045
Au2 Au 0.250 0.750 0.500
Se1 Se 0.250 0.250 0.684
O1 O 0.250 0.750 0.000
```